No. 1
First-principles (meta-GGA SCAN) data for a PBEsol-optimized structure of PBrNF, as listed in Alexandria via LeMat-Bulk.

Results
Its total energy is -11.83 eV/atom. The crystal system is orthorhombic. The calculation puts the uncorrected formation energy at -4.620 eV per formula unit.

abc: 8.0386 8.0386 8.2376
angles: 90.00 90.00 77.80
Last column: nearest neighbours and their distance in Å.
Element x y z (fractional)
P  0.1657  0.8343  0.5000  1 F 1.56, 2 N 1.59
P  0.1970  0.5823  0.2693  1 F 1.56, 2 N 1.59
P  0.4177  0.8030  0.2693  1 F 1.56, 2 N 1.59
P  0.5823  0.1970  0.7693  1 F 1.56, 2 N 1.59
P  0.8030  0.4177  0.7693  1 F 1.56, 2 N 1.59
P  0.8343  0.1657  0.0000  1 F 1.56, 2 N 1.59
Br  0.2418  0.7582  0.7457  1 P 2.17
Br  0.2610  0.3163  0.3356  1 P 2.16
Br  0.3163  0.2610  0.8356  1 P 2.16
Br  0.6837  0.7390  0.3356  1 P 2.16
Br  0.7390  0.6837  0.8356  1 P 2.16
Br  0.7582  0.2418  0.2457  1 P 2.17
N  0.0904  0.6919  0.4101  2 P 1.59
N  0.3081  0.9096  0.4101  2 P 1.59
N  0.3567  0.6433  0.1963  2 P 1.59
N  0.6433  0.3567  0.6963  2 P 1.59
N  0.6919  0.0904  0.9101  2 P 1.59
N  0.9096  0.3081  0.9101  2 P 1.59
F  0.0136  0.9864  0.5344  1 P 1.56
F  0.0699  0.5758  0.1271  1 P 1.56
F  0.4242  0.9301  0.1271  1 P 1.56
F  0.5758  0.0699  0.6271  1 P 1.56
F  0.9301  0.4242  0.6271  1 P 1.56
F  0.9864  0.0136  0.0344  1 P 1.56

=====

No. 2
First-principles (meta-GGA SCAN) data for a PBEsol-optimized structure of PBrN2F, as listed in Alexandria via LeMat-Bulk.

Results
Its total energy is -9.53 eV/atom. The crystal system is tetragonal. The calculation puts the uncorrected formation energy at 4.342 eV per formula unit.

abc: 3.6391 3.6391 3.7986
angles: 90.00 90.00 90.00
Last column: nearest neighbours and their distance in Å.
Element x y z (fractional)
P  0.0000  0.0000  0.0000  4 N 1.82, 2 F 1.90
Br  0.5000  0.5000  0.5000  4 F 2.57, 8 N 2.63
N  0.0000  0.5000  0.0000  2 P 1.82
N  0.5000  0.0000  0.0000  2 P 1.82
F  0.0000  0.0000  0.5000  2 P 1.90

=====

No. 3
First-principles (meta-GGA SCAN) data for a PBEsol-optimized structure of PtBrN2F, as listed in Alexandria via LeMat-Bulk.

Results
Its total energy is -21.28 eV/atom. The crystal system is tetragonal. The calculation puts the uncorrected formation energy at 5.394 eV per formula unit.

abc: 3.6555 3.6555 7.3960
angles: 90.00 90.00 90.00
Last column: nearest neighbours and their distance in Å.
Element x y z (fractional)
Pt  0.0000  0.0000  0.0000  4 N 1.83
Br  0.0000  0.0000  0.5000  4 F 2.58
N  0.0000  0.5000  0.0000  2 Pt 1.83
N  0.5000  0.0000  0.0000  2 Pt 1.83
F  0.5000  0.5000  0.5000  4 Br 2.58

=====

No. 4
First-principles (meta-GGA SCAN) data for a PBEsol-optimized structure of RbBrNF2, as listed in Alexandria via LeMat-Bulk.

Results
Its total energy is -11.07 eV/atom. The crystal system is tetragonal. The calculation puts the uncorrected formation energy at 1.228 eV per formula unit.

abc: 5.0216 5.0216 5.6907
angles: 90.00 90.00 90.00
Last column: nearest neighbours and their distance in Å.
Element x y z (fractional)
Rb  0.0000  0.0000  0.0000  4 F 2.51
Br  0.5000  0.5000  0.5000  4 N 3.55, 8 F 3.79
N  0.0000  0.0000  0.5000  2 Rb 2.85
F  0.0000  0.5000  0.0000  2 Rb 2.51
F  0.5000  0.0000  0.0000  2 Rb 2.51